Entry 1:
DFT (PBEsol) results for a relaxed In2HgW2 crystal.

a b c (Å): 3.8828 3.8828 7.2439
angles (deg): 105.55 105.55 90.00
With the nearest neighbours (Å) after each atom.
Fractional positions:
1 In 0.7500 0.2500 0.5000  4 In 2.75, 4 W 2.90
2 In 0.2500 0.7500 0.5000  4 In 2.75, 4 W 2.90
3 Hg 0.0000 0.0000 0.0000  8 W 2.99
4 W 0.4110 0.4110 0.8220  1 W 2.39
5 W 0.5890 0.5890 0.1780  1 W 2.39

## Properties
Its total magnetic moment is 0.0 μB/f.u. Its energy of formation from the pure elements is 1.026 eV/atom. The symmetry is No. 139.

***

Entry 2:
DFT (PBEsol) results for a relaxed Y2InHg crystal.

a b c (Å): 3.6414 3.6414 7.5279
angles (deg): 90.00 90.00 90.00
With the nearest neighbours (Å) after each atom.
Fractional positions:
1 In 0.5000 0.5000 0.5000  8 Y 3.21
2 Y 0.0000 0.0000 0.2446  4 Hg 3.17, 4 In 3.21
3 Y 0.0000 0.0000 0.7554  4 Hg 3.17, 4 In 3.21
4 Hg 0.5000 0.5000 0.0000  8 Y 3.17

## Properties
Its total magnetic moment is 0.0 μB/f.u. Its energy of formation from the pure elements is -0.590 eV/atom. The symmetry is No. 123.

***

What did the second record say?
DFT (PBEsol) results for a relaxed Y2InHg crystal.

a b c (Å): 3.6414 3.6414 7.5279
angles (deg): 90.00 90.00 90.00
With the nearest neighbours (Å) after each atom.
Fractional positions:
1 In 0.5000 0.5000 0.5000  8 Y 3.21
2 Y 0.0000 0.0000 0.2446  4 Hg 3.17, 4 In 3.21
3 Y 0.0000 0.0000 0.7554  4 Hg 3.17, 4 In 3.21
4 Hg 0.5000 0.5000 0.0000  8 Y 3.17

## Properties
Its total magnetic moment is 0.0 μB/f.u. Its energy of formation from the pure elements is -0.590 eV/atom. The symmetry is No. 123.